No. 1
A plane-wave DFT calculation with GGA-PBE was carried out for a relaxed Tb7CeY12 crystal.

The structure in POSCAR format:
```
Tb7CeY12
1.0
9.310 -0.145 -0.218
-2.728 8.902 -0.218
-2.728 -3.630 8.132
Y Tb Ce
12 7 1
direct
0.676 0.390 0.210
0.300 0.404 0.063
0.063 0.300 0.404
0.404 0.063 0.300
0.596 0.937 0.700
0.324 0.610 0.790
0.700 0.596 0.937
0.390 0.210 0.676
0.790 0.324 0.610
0.937 0.700 0.596
0.210 0.676 0.390
0.610 0.790 0.324
0.002 0.105 0.685
0.500 0.500 0.500
0.998 0.895 0.315
0.895 0.315 0.998
0.685 0.002 0.105
0.105 0.685 0.002
0.315 0.998 0.895
0.000 0.000 0.000
```

Calculated formation energy = 0.1691 eV/atom
E above lowest polymorph = 0.00 kJ per mole of atoms
Total magnetic moment = 0.03 μB per atom
Theoretical density = 5.87 Mg/m³
Calculated total energy = -5.63 eV per atom

No. 2
A plane-wave DFT calculation with GGA-PBE was carried out for a relaxed Tb2CeY crystal.

The structure in POSCAR format:
```
Tb2CeY
1.0
3.551 0.000 0.000
1.776 3.075 0.000
1.776 1.025 11.563
Y Ce Tb
1 1 2
direct
0.666 0.666 0.001
0.501 0.501 0.498
0.084 0.084 0.749
0.250 0.250 0.251
```

Calculated formation energy = 0.0579 eV/atom
E above lowest polymorph = 0.12 kJ per mole of atoms
Total magnetic moment = 0.20 μB per atom
Theoretical density = 7.19 Mg/m³
Calculated total energy = -5.36 eV per atom

No. 3
A plane-wave DFT calculation with GGA-PBE was carried out for a relaxed Tb14CeY crystal.

The structure in POSCAR format:
```
Tb14CeY
1.0
-4.393 -5.601 -0.260
4.289 -3.569 4.427
-5.103 3.636 7.875
Y Tb Ce
1 14 1
direct
0.375 0.625 0.000
0.124 0.876 0.750
0.626 0.374 0.250
0.124 0.374 0.750
0.875 0.125 0.500
0.875 0.625 0.500
0.626 0.876 0.250
0.124 0.374 0.250
0.375 0.125 0.500
0.375 0.625 0.500
0.626 0.876 0.750
0.626 0.374 0.750
0.124 0.876 0.250
0.875 0.625 0.000
0.375 0.125 0.000
0.875 0.125 0.000
```

Calculated formation energy = 0.0263 eV/atom
Total magnetic moment = 0.05 μB per atom
Theoretical density = 7.98 Mg/m³
Calculated total energy = -4.80 eV per atom

No. 4
A plane-wave DFT calculation with GGA-PBE was carried out for a relaxed Tb6CeY crystal.

The structure in POSCAR format:
```
Tb6CeY
1.0
-6.362 2.298 -0.322
-2.322 -6.080 0.028
-2.867 2.607 5.677
Y Tb Ce
1 6 1
direct
0.000 0.000 0.000
0.574 0.766 0.519
0.550 0.749 0.000
0.450 0.251 0.000
0.902 0.272 0.523
0.426 0.234 0.481
0.098 0.728 0.477
0.000 0.500 0.000
```

Calculated formation energy = 0.2182 eV/atom
E above lowest polymorph = 16.70 kJ per mole of atoms
Total magnetic moment = 0.18 μB per atom
Theoretical density = 7.62 Mg/m³
Calculated total energy = -4.80 eV per atom

No. 5
A plane-wave DFT calculation with GGA-PBE was carried out for a relaxed Tb4Ce2Y5 crystal.

The structure in POSCAR format:
```
Tb4Ce2Y5
1.0
-2.269 -1.935 1.805
-0.941 -7.293 -8.997
7.790 -3.402 2.780
Y Tb Ce
5 4 2
direct
0.902 0.465 0.805
0.500 0.000 0.000
0.098 0.535 0.195
0.823 0.929 0.645
0.177 0.071 0.355
0.641 0.797 0.282
0.034 0.258 0.068
0.359 0.203 0.718
0.966 0.742 0.932
0.280 0.642 0.561
0.720 0.358 0.439
```

Calculated formation energy = 0.1065 eV/atom
Total magnetic moment = 0.16 μB per atom
Theoretical density = 6.37 Mg/m³
Calculated total energy = -5.59 eV per atom

No. 6
A plane-wave DFT calculation with GGA-PBE was carried out for a relaxed Tb2CeY crystal.

The structure in POSCAR format:
```
Tb2CeY
1.0
-4.031 2.060 2.158
-2.956 -3.292 -2.378
0.440 -3.183 3.861
Tb Ce Y
2 1 1
direct
0.000 0.000 0.500
0.000 0.500 0.000
0.500 0.500 0.500
0.500 0.000 0.000
```

Calculated formation energy = 0.0714 eV/atom
E above lowest polymorph = 1.42 kJ per mole of atoms
Total magnetic moment = 0.14 μB per atom
Theoretical density = 7.18 Mg/m³
Calculated total energy = -5.34 eV per atom

No. 7
A plane-wave DFT calculation with GGA-PBE was carried out for a relaxed TbCeY5 crystal.

The structure in POSCAR format:
```
TbCeY5
1.0
5.950 0.000 1.493
2.975 8.775 0.747
-0.208 0.000 8.829
Y Tb Ce
10 2 2
direct
0.459 0.309 0.538
0.541 0.691 0.462
0.611 0.376 0.146
0.232 0.309 0.962
0.389 0.624 0.854
0.987 0.624 0.646
0.857 0.286 0.750
0.143 0.714 0.250
0.013 0.376 0.354
0.768 0.691 0.038
0.487 0.026 0.250
0.513 0.974 0.750
0.000 0.000 0.500
0.000 0.000 0.000
```

Calculated formation energy = 0.2052 eV/atom
Total magnetic moment = 0.29 μB per atom
Theoretical density = 5.33 Mg/m³
Calculated total energy = -5.92 eV per atom

No. 8
A plane-wave DFT calculation with GGA-PBE was carried out for a relaxed Tb9CeY2 crystal.

The structure in POSCAR format:
```
Tb9CeY2
1.0
5.035 0.000 0.000
0.000 5.035 0.000
0.000 0.000 15.107
Tb Y Ce
9 2 1
direct
0.000 0.500 0.500
0.000 0.500 0.165
0.500 0.500 0.665
0.500 0.500 0.000
0.500 0.000 0.165
0.000 0.500 0.835
0.500 0.000 0.835
0.500 0.000 0.500
0.500 0.500 0.335
0.000 0.000 0.668
0.000 0.000 0.332
0.000 0.000 0.000
```

Calculated formation energy = 0.0362 eV/atom
Total magnetic moment = 0.08 μB per atom
Theoretical density = 7.58 Mg/m³
Calculated total energy = -5.01 eV per atom